# 1
{"formula": "Mg2TlW", "functional": "SCAN", "state": "single point on PBEsol structure", "de_polymorph_mev_per_atom": 178.4, "dos_ef_per_ev_atom": 0.372, "final_energy_ev_per_cell": -149.93, "formation_energy_ev_per_fu": 2.1, "cell": [[1.522, 0.879, 9.824], [-1.522, 0.879, 9.824], [0.000, -1.757, 9.824]], "species": ["Mg", "Mg", "Tl", "W"], "frac_coords": [[0.000, 0.000, 0.000], [0.246, 0.246, 0.246], [0.493, 0.493, 0.493], [0.744, 0.744, 0.744]]}

# 2
{"formula": "MgTl2W", "functional": "SCAN", "state": "single point on PBEsol structure", "de_polymorph_mev_per_atom": 0.0, "dos_ef_per_ev_atom": 0.337, "final_energy_ev_per_cell": -216.88, "formation_energy_ev_per_fu": 2.5, "cell": [[1.575, 0.909, 9.424], [-1.575, 0.909, 9.424], [0.000, -1.819, 9.424]], "species": ["Mg", "Tl", "Tl", "W"], "frac_coords": [[0.000, 0.000, 0.000], [0.248, 0.248, 0.248], [0.752, 0.752, 0.752], [0.500, 0.500, 0.500]]}

# 3
{"formula": "Mg2TlW", "functional": "SCAN", "state": "single point on PBEsol structure", "de_polymorph_mev_per_atom": 218.8, "dos_ef_per_ev_atom": 0.816, "final_energy_ev_per_cell": -149.77, "formation_energy_ev_per_fu": 2.2, "cell": [[-2.017, 2.017, 4.545], [2.017, -2.017, 4.545], [2.017, 2.017, -4.545]], "species": ["Mg", "Mg", "Tl", "W"], "frac_coords": [[0.000, 0.000, 0.000], [0.750, 0.250, 0.500], [0.500, 0.500, 0.000], [0.250, 0.750, 0.500]]}

Here are the calculated calculated density numbers, same order: 9.2, 12.6, 9.8 (g cm⁻³).